Entry 1:
VASP calculation (PBE+U) on a relaxed structure of UVO4.

SG ... No. 109
Magnetic moment ... 6.000 μB/cell

Cell lengths 5.898, 5.898, 5.898 Å; angles 107.71, 107.71, 113.06 degrees
Site moments in Bohr magnetons follow the coordinates.
Atoms (fractional coordinates):
O1 0.698 0.508 0.189  -0.04
O2 0.319 0.508 0.811  -0.04
O3 0.794 0.994 0.800  -0.05
O4 0.194 0.994 0.200  -0.05
O5 0.744 0.044 0.300  -0.05
V1 0.502 0.002 0.500  1.88
U1 0.244 0.244 0.000  1.16
O6 0.744 0.444 0.700  -0.05
V2 0.752 0.752 0.000  1.88
O7 0.258 0.569 0.311  -0.04
O8 0.258 0.948 0.689  -0.04
U2 0.994 0.494 0.500  1.16

---

Entry 2:
VASP calculation (PBE+U) on a relaxed structure of U3V5O12.

SG ... No. 230
Magnetic moment ... 20.158 μB/cell

Cell lengths 11.033, 11.033, 11.033 Å; angles 109.47, 109.47, 109.47 degrees
Site moments in Bohr magnetons follow the coordinates.
Atoms (fractional coordinates):
U1 0.875 0.125 0.250  2.03
U2 0.750 0.375 0.125  2.03
V1 0.000 0.000 0.500  -2.60
V2 0.875 0.625 0.750  -1.77
O1 0.129 0.411 0.091  -0.02
O2 0.681 0.218 0.589  -0.02
O3 0.371 0.962 0.782  -0.02
O4 0.411 0.282 0.319  -0.02
O5 0.129 0.718 0.538  -0.02
O6 0.282 0.411 0.819  -0.02
O7 0.091 0.911 0.129  -0.02
O8 0.089 0.181 0.218  -0.02
O9 0.871 0.282 0.462  -0.02
O10 0.589 0.718 0.681  -0.02
O11 0.819 0.911 0.282  -0.02
O12 0.218 0.681 0.089  -0.02
O13 0.871 0.589 0.909  -0.02
V3 0.750 0.625 0.375  -1.77
V4 0.250 0.875 0.125  -1.77
O14 0.591 0.962 0.681  -0.02
O15 0.319 0.782 0.411  -0.02
O16 0.629 0.591 0.911  -0.02
V5 0.875 0.250 0.625  -1.77
U3 0.875 0.750 0.125  2.03
V6 0.000 0.000 0.000  -2.60
U4 0.125 0.250 0.875  2.03
O17 0.911 0.819 0.782  -0.02
O18 0.819 0.909 0.038  -0.02
O19 0.181 0.089 0.718  -0.02
U5 0.250 0.125 0.375  2.03
V7 0.000 0.500 0.000  -2.60
O20 0.629 0.038 0.218  -0.02
O21 0.589 0.871 0.409  -0.02
O22 0.962 0.371 0.282  -0.02
V8 0.250 0.375 0.625  -1.77
O23 0.718 0.129 0.038  -0.02
O24 0.282 0.871 0.962  -0.02
O25 0.411 0.129 0.591  -0.02
O26 0.409 0.371 0.589  -0.02
O27 0.462 0.681 0.091  -0.02
O28 0.462 0.782 0.871  -0.02
O29 0.371 0.409 0.089  -0.02
O30 0.409 0.038 0.319  -0.02
O31 0.681 0.462 0.591  -0.02
O32 0.181 0.091 0.962  -0.02
O33 0.782 0.319 0.911  -0.02
O34 0.538 0.319 0.909  -0.02
V9 0.375 0.250 0.125  -1.77
V10 0.375 0.125 0.750  -1.77
O35 0.911 0.091 0.629  -0.02
O36 0.909 0.819 0.538  -0.02
U6 0.625 0.375 0.750  2.03
V11 0.125 0.375 0.250  -1.77
O37 0.718 0.589 0.181  -0.02
O38 0.091 0.181 0.462  -0.02
O39 0.319 0.538 0.409  -0.02
U7 0.625 0.250 0.375  2.03
O40 0.909 0.089 0.871  -0.02
O41 0.038 0.409 0.819  -0.02
O42 0.218 0.538 0.629  -0.02
V12 0.125 0.750 0.375  -1.77
V13 0.000 0.500 0.500  -2.60
V14 0.625 0.875 0.250  -1.77
U8 0.750 0.875 0.625  2.03
O43 0.089 0.909 0.371  -0.02
O44 0.962 0.591 0.181  -0.02
U9 0.250 0.625 0.875  2.03
V15 0.750 0.125 0.875  -1.77
O45 0.538 0.218 0.129  -0.02
V16 0.500 0.500 0.000  -2.60
V17 0.500 0.500 0.500  -2.60
V18 0.500 0.000 0.000  -2.60
V19 0.625 0.750 0.875  -1.77
U10 0.125 0.875 0.750  2.03
V20 0.500 0.000 0.500  -2.60
U11 0.375 0.625 0.250  2.03
U12 0.375 0.750 0.625  2.03
O46 0.782 0.462 0.371  -0.02
O47 0.591 0.629 0.411  -0.02
O48 0.038 0.629 0.718  -0.02

---

Entry 3:
VASP calculation (PBE+U) on a relaxed structure of UV2O6.

SG ... No. 136
Magnetic moment ... 8.000 μB/cell

Cell lengths 4.770, 4.770, 9.592 Å; angles 90.00, 90.00, 90.00 degrees
Site moments in Bohr magnetons follow the coordinates.
Atoms (fractional coordinates):
O1 0.808 0.192 0.000  -0.03
V1 0.500 0.500 0.668  1.88
U1 0.000 0.000 0.500  0.24
V2 0.000 0.000 0.832  1.88
O2 0.200 0.800 0.669  -0.04
O3 0.300 0.300 0.169  -0.04
V3 0.000 0.000 0.168  1.88
O4 0.308 0.308 0.500  -0.03
O5 0.800 0.200 0.331  -0.04
O6 0.200 0.800 0.331  -0.04
O7 0.192 0.808 0.000  -0.03
U2 0.500 0.500 0.000  0.24
O8 0.692 0.692 0.500  -0.03
O9 0.800 0.200 0.669  -0.04
V4 0.500 0.500 0.332  1.88
O10 0.300 0.300 0.831  -0.04
O11 0.700 0.700 0.831  -0.04
O12 0.700 0.700 0.169  -0.04

---

Entry 4:
VASP calculation (PBE+U) on a relaxed structure of YUVO6.

SG ... No. 163
Magnetic moment ... 4.011 μB/cell

Cell lengths 5.402, 5.402, 9.751 Å; angles 90.00, 90.00, 120.00 degrees
Site moments in Bohr magnetons follow the coordinates.
Atoms (fractional coordinates):
O1 0.990 0.645 0.862  -0.03
O2 0.345 0.355 0.362  -0.03
O3 0.355 0.345 0.862  -0.03
O4 0.355 0.010 0.638  -0.03
Y1 0.000 0.000 0.500  0.01
O5 0.010 0.655 0.362  -0.03
U1 0.667 0.333 0.250  0.34
U2 0.333 0.667 0.750  0.34
O6 0.010 0.355 0.138  -0.03
Y2 0.000 0.000 0.000  0.01
O7 0.645 0.655 0.138  -0.03
V1 0.333 0.667 0.250  1.71
O8 0.345 0.990 0.138  -0.03
O9 0.655 0.010 0.862  -0.03
O10 0.655 0.645 0.638  -0.03
V2 0.667 0.333 0.750  1.71
O11 0.645 0.990 0.362  -0.03
O12 0.990 0.345 0.638  -0.03

---

Entry 5:
VASP calculation (PBE+U) on a relaxed structure of ZrUVO6.

SG ... No. 163
Magnetic moment ... 6.001 μB/cell

Cell lengths 5.325, 5.325, 9.495 Å; angles 90.00, 90.00, 120.00 degrees
Site moments in Bohr magnetons follow the coordinates.
Atoms (fractional coordinates):
O1 0.001 0.330 0.130  -0.02
V1 0.667 0.333 0.750  2.35
O2 0.999 0.330 0.630  -0.02
U1 0.667 0.333 0.250  0.49
O3 0.330 0.999 0.130  -0.02
U2 0.333 0.667 0.750  0.49
Zr1 0.000 0.000 0.500  0.04
O4 0.670 0.001 0.870  -0.02
O5 0.001 0.670 0.370  -0.02
V2 0.333 0.667 0.250  2.35
O6 0.330 0.330 0.870  -0.02
O7 0.330 0.001 0.630  -0.02
Zr2 0.000 0.000 0.000  0.04
O8 0.670 0.670 0.630  -0.02
O9 0.670 0.999 0.370  -0.02
O10 0.670 0.670 0.130  -0.02
O11 0.999 0.670 0.870  -0.02
O12 0.330 0.330 0.370  -0.02

---

Entry 6:
VASP calculation (PBE+U) on a relaxed structure of UW3O11.

SG ... No. 51
Magnetic moment ... 3.785 μB/cell

Cell lengths 3.930, 7.627, 14.206 Å; angles 90.00, 90.00, 90.00 degrees
Site moments in Bohr magnetons follow the coordinates.
Atoms (fractional coordinates):
O1 0.500 0.500 0.500  -0.06
W1 0.000 0.500 0.500  0.60
O2 0.500 0.498 0.772  -0.03
O3 0.000 0.035 0.089  -0.03
O4 0.000 0.038 0.639  -0.06
W2 0.000 0.000 0.232  0.26
O5 0.000 0.750 0.757  -0.03
O6 0.000 0.250 0.808  -0.01
O7 0.500 0.002 0.772  -0.03
U1 0.000 0.750 0.016  1.12
O8 0.000 0.535 0.911  -0.03
O9 0.500 0.750 0.030  -0.04
O10 0.000 0.962 0.361  -0.06
O11 0.000 0.250 0.243  -0.03
O12 0.500 0.998 0.228  -0.03
O13 0.000 0.538 0.361  -0.06
W3 0.000 0.000 0.768  0.26
O14 0.000 0.465 0.089  -0.03
W4 0.000 0.500 0.232  0.26
U2 0.000 0.250 0.984  1.12
W5 0.000 0.500 0.768  0.26
O15 0.000 0.750 0.519  -0.07
O16 0.500 0.250 0.970  -0.04
O17 0.500 0.502 0.228  -0.03
O18 0.500 0.000 0.500  -0.06
O19 0.000 0.965 0.911  -0.03
O20 0.000 0.462 0.639  -0.06
O21 0.000 0.750 0.192  -0.01
O22 0.000 0.250 0.481  -0.07
W6 0.000 0.000 0.500  0.60

---

Entry 7:
VASP calculation (PBE+U) on a relaxed structure of UWO6.

SG ... No. 148
Magnetic moment ... 0.000 μB/cell

Cell lengths 5.672, 5.672, 5.685 Å; angles 60.07, 60.08, 60.00 degrees
Atoms (fractional coordinates):
O1 0.719 0.259 0.259
W1 0.500 0.500 0.500
O2 0.281 0.741 0.741
O3 0.764 0.718 0.259
O4 0.741 0.236 0.741
U1 0.000 0.000 0.000
O5 0.259 0.764 0.259
O6 0.236 0.282 0.741

---

Entry 8:
VASP calculation (PBE+U) on a relaxed structure of UW2O8.

SG ... No. 2
Magnetic moment ... 2.000 μB/cell

Cell lengths 6.335, 5.958, 4.912 Å; angles 119.24, 82.18, 108.19 degrees
Site moments in Bohr magnetons follow the coordinates.
Atoms (fractional coordinates):
O1 0.190 0.673 0.632  -0.01
O2 0.464 0.194 0.837  0.00
O3 0.176 0.044 0.342  0.01
O4 0.164 0.435 0.001  -0.03
O5 0.836 0.565 0.999  -0.03
O6 0.536 0.806 0.163  0.00
W1 0.998 0.693 0.357  1.02
O7 0.824 0.956 0.658  0.01
O8 0.810 0.327 0.368  -0.01
U1 0.500 0.000 0.000  0.04
W2 0.002 0.307 0.643  1.02

---

no.,E (eV for the cell shown)
1,-109.95
2,-707.01
3,-157.90
4,-162.39
5,-165.66
6,-242.66
7,-68.35
8,-89.28